1.
First-principles (GGA-PBE) data for a relaxed structure of MgCoGeAu, as listed in the Open Quantum Materials Database.

```
MgCoGeAu
1.0
0.0000 3.1419 3.1419
3.1419 0.0000 3.1419
3.1419 3.1419 0.0000
Au Co Ge Mg
1 1 1 1
direct
0.2500 0.2500 0.2500
0.7500 0.7500 0.7500
0.0000 0.0000 0.0000
0.5000 0.5000 0.5000
```

***

2.
First-principles (GGA-PBE) data for a relaxed structure of NdCoGe2Au, as listed in the Open Quantum Materials Database.

```
NdCoGe2Au
1.0
-1.9026 -3.7251 4.3994
1.7676 0.7747 5.7556
-2.2821 3.2459 -4.5942
Au Co Ge Nd
1 1 2 1
direct
0.5000 0.5000 0.0000
0.0000 0.0000 0.0000
0.6316 0.1316 0.5000
0.8684 0.3684 0.5000
0.2500 0.7500 0.5000
```

***

3.
First-principles (GGA-PBE) data for a relaxed structure of CoNiGeAu, as listed in the Open Quantum Materials Database.

```
CoNiGeAu
1.0
0.0000 3.0142 3.0142
3.0142 0.0000 3.0142
3.0142 3.0142 0.0000
Au Co Ge Ni
1 1 1 1
direct
0.2500 0.2500 0.2500
0.7500 0.7500 0.7500
0.0000 0.0000 0.0000
0.5000 0.5000 0.5000
```

***

4.
First-principles (GGA-PBE) data for a relaxed structure of CoNiGeAu, as listed in the Open Quantum Materials Database.

```
CoNiGeAu
1.0
0.0000 2.9994 2.9994
2.9994 0.0000 2.9994
2.9994 2.9994 0.0000
Au Co Ge Ni
1 1 1 1
direct
0.5000 0.5000 0.5000
0.7500 0.7500 0.7500
0.0000 0.0000 0.0000
0.2500 0.2500 0.2500
```

***

no.,total magnetic moment (μB per formula unit),raw total energy (eV per atom)
1,1.2,-4.16
2,1.4,-5.36
3,1.1,-4.97
4,0.7,-5.09